Entry 1:
Here is Na2SO4 at its PBEsol-relaxed geometry from Alexandria. Energies are from SCAN.

POSCAR file:
```
Na2SO4
1.0
-5.567 0.220 -1.221
3.187 -3.891 -2.689
0.045 -2.207 6.447
O Na S
8 4 2
Direct
0.805 0.625 0.137
0.332 0.512 0.137
0.918 0.238 0.363
0.762 0.082 0.637
0.445 0.125 0.363
0.375 0.195 0.863
0.875 0.555 0.637
0.488 0.668 0.863
0.435 0.565 0.500
0.185 0.815 0.000
0.065 0.935 0.500
0.815 0.185 0.000
0.750 0.250 0.500
0.500 0.500 0.000
```

Output
V = 176.5 Å³/cell


Entry 2:
Here is NaSm9Si6S2O24 at its PBEsol-relaxed geometry from Alexandria. Energies are from SCAN.

POSCAR file:
```
NaSm9Si6S2O24
1.0
6.707 0.000 0.000
0.000 9.737 0.000
0.000 -4.869 8.433
O Si Sm S Na
24 6 9 2 1
Direct
0.757 0.851 0.343
0.555 0.073 0.304
0.052 0.603 0.032
0.249 0.846 0.022
0.947 0.695 0.772
0.052 0.968 0.571
0.757 0.492 0.149
0.247 0.467 0.189
0.434 0.413 0.406
0.247 0.811 0.278
0.434 0.992 0.587
0.757 0.657 0.508
0.249 0.978 0.824
0.750 0.937 0.797
0.434 0.594 0.008
0.052 0.429 0.397
0.750 0.203 0.140
0.249 0.176 0.154
0.947 0.077 0.305
0.555 0.696 0.769
0.247 0.722 0.533
0.750 0.860 0.063
0.555 0.231 0.927
0.947 0.228 0.923
0.752 0.302 0.042
0.249 0.719 0.085
0.249 0.915 0.634
0.752 0.958 0.260
0.752 0.740 0.698
0.249 0.366 0.281
0.001 0.000 0.000
0.750 0.584 0.911
0.750 0.327 0.416
0.993 0.667 0.333
0.497 0.000 0.000
0.254 0.080 0.432
0.254 0.351 0.920
0.750 0.089 0.673
0.254 0.568 0.649
0.513 0.333 0.667
0.005 0.333 0.667
0.507 0.667 0.333
```

Output
V = 550.7 Å³/cell


Entry 3:
Here is NaSm9Si6S2O24 at its PBEsol-relaxed geometry from Alexandria. Energies are from SCAN.

POSCAR file:
```
NaSm9Si6S2O24
1.0
-6.243 -2.235 1.057
3.044 -4.759 7.915
-3.265 13.578 9.429
O Si Sm S Na
48 12 18 4 2
Direct
0.695 0.228 0.873
0.818 0.800 0.540
0.307 0.079 0.178
0.491 0.867 0.263
0.824 0.910 0.832
0.822 0.292 0.629
0.301 0.575 0.684
0.697 0.738 0.370
0.199 0.818 0.548
0.002 0.933 0.421
0.002 0.127 0.739
0.801 0.318 0.048
0.998 0.433 0.921
0.496 0.172 0.301
0.001 0.401 0.756
0.996 0.165 0.322
0.176 0.410 0.332
0.998 0.627 0.239
0.699 0.075 0.184
0.508 0.320 0.161
0.998 0.328 0.194
0.002 0.828 0.694
0.305 0.728 0.373
0.305 0.191 0.448
0.509 0.367 0.763
0.178 0.792 0.129
0.004 0.045 0.567
0.697 0.189 0.448
0.996 0.545 0.067
0.693 0.579 0.678
0.497 0.081 0.759
0.303 0.238 0.870
0.303 0.689 0.948
0.502 0.462 0.935
0.498 0.962 0.435
0.503 0.581 0.259
0.504 0.672 0.801
0.496 0.098 0.580
0.695 0.691 0.948
0.492 0.820 0.661
0.797 0.767 0.136
0.504 0.598 0.080
0.204 0.913 0.815
0.182 0.300 0.040
0.203 0.267 0.636
0.796 0.413 0.315
0.999 0.901 0.256
0.004 0.665 0.822
0.995 0.324 0.291
0.003 0.275 0.693
0.005 0.824 0.791
0.499 0.718 0.312
0.503 0.172 0.203
0.002 0.902 0.516
0.501 0.218 0.812
0.500 0.109 0.485
0.998 0.402 0.016
0.997 0.775 0.193
0.500 0.609 0.985
0.497 0.672 0.703
0.749 0.999 0.333
0.002 0.110 0.874
0.742 0.501 0.167
0.246 0.001 0.334
0.504 0.380 0.625
0.258 0.001 0.667
0.000 0.256 0.508
0.498 0.247 0.998
0.251 0.499 0.833
0.506 0.873 0.877
0.998 0.610 0.374
0.003 0.135 0.118
0.997 0.635 0.618
0.000 0.756 0.008
0.496 0.880 0.125
0.754 0.501 0.834
0.494 0.373 0.377
0.502 0.747 0.498
0.250 0.502 0.504
0.742 0.498 0.496
0.750 0.002 0.004
0.258 0.998 0.996
0.744 0.999 0.666
0.256 0.499 0.166
```

Output
V = 1100.2 Å³/cell


no.,DOS(E_F) (states/eV/cell),raw formation energy (meV/atom)
1,0.000,-2046
2,0.000,-3436
3,0.000,-3436